The following is a DFT calculation (PBE) of a geometry-optimized TaCuTc2 structure.

Output
Energy of formation = 184 meV/atom
ρ = 12.15 g cm⁻³
Total magnetization = 0.000 μB per formula unit
SG = Cmm2, No. 35
Offset from the most stable computed form = 206 meV/atom

The structure in POSCAR format:
```
TaCuTc2
1.0
1.623 -2.170 0.000
1.623 2.170 0.000
0.000 0.000 8.551
Ta Cu Tc
1 1 2
direct
0.000 0.000 0.000
0.500 0.500 0.748
0.000 0.000 0.505
0.500 0.500 0.260
```